No. 1
Entry from the Alexandria database: Ho12Er6Zr after structural relaxation (PBE).

## Properties
Density of states at the Fermi level (states/eV per cell): 32.65
Raw total energy (eV for the cell shown): -87.77
Space-group type: R-3 (148)
Formation enthalpy at 0 K (kJ/mol of formula units): 298
Density (g/cm3): 8.63

a b c (Å): 8.3981 8.3981 8.3981
angles (deg): 88.62 88.62 88.62
Sites, in units of the cell vectors:
Er (0.7012, 0.2542, 0.0931)
Er (0.2542, 0.0931, 0.7012)
Er (0.7458, 0.9069, 0.2988)
Er (0.9069, 0.2988, 0.7458)
Er (0.0931, 0.7012, 0.2542)
Er (0.2988, 0.7458, 0.9069)
Ho (0.5367, 0.4413, 0.7796)
Ho (0.7796, 0.5367, 0.4413)
Ho (0.1965, 0.3522, 0.0132)
Ho (0.4633, 0.5587, 0.2204)
Ho (0.8035, 0.6478, 0.9868)
Ho (0.2204, 0.4633, 0.5587)
Ho (0.5587, 0.2204, 0.4633)
Ho (0.9868, 0.8035, 0.6478)
Ho (0.3522, 0.0132, 0.1965)
Ho (0.6478, 0.9868, 0.8035)
Ho (0.4413, 0.7796, 0.5367)
Ho (0.0132, 0.1965, 0.3522)
Zr (0.0000, 0.0000, 0.0000)

=====

No. 2
Entry from the Alexandria database: LaTb3Ni2 after structural relaxation (PBE).

## Properties
Density of states at the Fermi level (states/eV per cell): 13.96
Raw total energy (eV for the cell shown): -63.84
Space-group type: C2/m (12)
Formation enthalpy at 0 K (kJ/mol of formula units): -148
Density (g/cm3): 7.84

a b c (Å): 3.9261 8.4371 9.9655
angles (deg): 78.54 78.64 76.55
Sites, in units of the cell vectors:
Tb (0.5816, 0.7836, 0.0532)
Tb (0.4146, 0.7323, 0.4385)
Tb (0.5854, 0.2677, 0.5615)
Tb (0.4184, 0.2164, 0.9468)
Tb (0.8464, 0.0583, 0.2489)
Tb (0.1536, 0.9417, 0.7511)
Ni (0.7685, 0.4089, 0.0540)
Ni (0.2321, 0.0836, 0.4522)
Ni (0.7679, 0.9164, 0.5478)
Ni (0.2315, 0.5911, 0.9460)
La (0.8475, 0.5554, 0.7497)
La (0.1525, 0.4446, 0.2503)

=====

No. 3
Entry from the Alexandria database: SnBiCl after structural relaxation (PBE).

## Properties
Density of states at the Fermi level (states/eV per cell): 0.17
Formation energy (no corrections) (kJ per mole of atoms): -33.8
Raw total energy (eV for the cell shown): -21.56
Space-group type: P2_1 (4)
Density (g/cm3): 5.53

a b c (Å): 4.6418 8.1748 6.7794
angles (deg): 58.02 90.00 89.99
Sites, in units of the cell vectors:
Bi (0.3123, 0.7893, 0.8648)
Bi (0.8121, 0.3685, 0.3084)
Cl (0.8117, 0.8148, 0.2700)
Cl (0.3114, 0.3429, 0.9034)
Sn (0.3122, 0.2221, 0.6386)
Sn (0.8125, 0.9357, 0.5347)

=====

No. 4
Entry from the Alexandria database: MgIn4GeSe8 after structural relaxation (PBE).

## Properties
Density of states at the Fermi level (states/eV per cell): 1.82
Formation energy (no corrections) (kJ per mole of atoms): -52.6
Raw total energy (eV for the cell shown): -52.68
Space-group type: R3m (160)
Density (g/cm3): 5.18

a b c (Å): 8.1932 8.1932 8.0794
angles (deg): 59.53 59.53 60.00
Sites, in units of the cell vectors:
In (0.4913, 0.0022, 0.5042)
In (0.6157, 0.6157, 0.1528)
In (0.0022, 0.4913, 0.5042)
In (0.0022, 0.0022, 0.5042)
Se (0.7604, 0.2214, 0.2577)
Se (0.2457, 0.2457, 0.7385)
Se (0.7557, 0.7557, 0.7330)
Se (0.2214, 0.7604, 0.2577)
Se (0.7700, 0.2457, 0.7385)
Se (0.2445, 0.2445, 0.2665)
Se (0.7604, 0.7604, 0.2577)
Se (0.2457, 0.7700, 0.7385)
Mg (0.3790, 0.3790, 0.8630)
Ge (0.0055, 0.0055, 0.9835)

=====

No. 5
Entry from the Alexandria database: PmLuPd2 after structural relaxation (PBE).

## Properties
Density of states at the Fermi level (states/eV per cell): 3.23
Raw total energy (eV for the cell shown): -23.08
Space-group type: P4/mmm (123)
Formation enthalpy at 0 K (kJ/mol of formula units): -330
Density (g/cm3): 10.20

a b c (Å): 3.4452 3.4452 7.3082
angles (deg): 90.00 90.00 90.00
Sites, in units of the cell vectors:
Lu (0.5000, 0.5000, 0.0000)
Pd (0.0000, 0.0000, 0.7749)
Pd (0.0000, 0.0000, 0.2251)
Pm (0.5000, 0.5000, 0.5000)

=====

No. 6
Entry from the Alexandria database: AgSn2S3Br after structural relaxation (PBE).

## Properties
Density of states at the Fermi level (states/eV per cell): 10.88
Formation energy (no corrections) (kJ per mole of atoms): -28.3
Raw total energy (eV for the cell shown): -53.93
Space-group type: R-3m (166)
Density (g/cm3): 4.80

a b c (Å): 7.8892 7.8892 7.8892
angles (deg): 61.78 61.78 61.78
Sites, in units of the cell vectors:
Sn (0.0000, 0.0000, 0.5000)
Sn (0.0000, 0.0000, 0.0000)
Sn (0.0000, 0.5000, 0.0000)
Sn (0.5000, 0.0000, 0.0000)
Br (0.7386, 0.7386, 0.7386)
Br (0.2614, 0.2614, 0.2614)
Ag (0.5809, 0.5809, 0.5809)
Ag (0.4191, 0.4191, 0.4191)
S (0.7637, 0.7637, 0.2216)
S (0.7784, 0.2363, 0.2363)
S (0.2216, 0.7637, 0.7637)
S (0.2363, 0.2363, 0.7784)
S (0.7637, 0.2216, 0.7637)
S (0.2363, 0.7784, 0.2363)

=====

No. 7
Entry from the Alexandria database: TmVTc2 after structural relaxation (PBE).

## Properties
Density of states at the Fermi level (states/eV per cell): 5.07
Raw total energy (eV for the cell shown): -34.34
Space-group type: Fm-3m (225)
Formation enthalpy at 0 K (kJ/mol of formula units): -2
Density (g/cm3): 10.65

a b c (Å): 4.5098 4.5098 4.5098
angles (deg): 60.00 60.00 60.00
Sites, in units of the cell vectors:
Tm (0.0000, 0.0000, 0.0000)
Tc (0.7500, 0.7500, 0.7500)
Tc (0.2500, 0.2500, 0.2500)
V (0.5000, 0.5000, 0.5000)

=====

No. 8
Entry from the Alexandria database: Y3TmPu3Se8 after structural relaxation (PBE).

## Properties
Density of states at the Fermi level (states/eV per cell): 32.91
Formation energy (no corrections) (kJ per mole of atoms): -167.0
Raw total energy (eV for the cell shown): -120.69
Space-group type: R-3m (166)
Density (g/cm3): 7.64

a b c (Å): 8.1951 8.1948 8.2213
angles (deg): 119.90 90.00 120.00
Each line ends with the local moment (μB).
Sites, in units of the cell vectors:
Se (0.2514, 0.0037, 0.2561)  -0.03
Se (0.2477, 0.4953, 0.7439)  -0.03
Se (0.2510, 0.5020, 0.2529)  -0.05
Se (0.7523, 0.0037, 0.2561)  -0.03
Se (0.7486, 0.9963, 0.7439)  -0.03
Se (0.7490, 0.4980, 0.7471)  -0.05
Se (0.7523, 0.5047, 0.2561)  -0.03
Se (0.2477, 0.9963, 0.7439)  -0.03
Pu (0.0000, 0.0000, 0.0000)  5.43
Pu (0.0000, 0.5000, 0.0000)  5.43
Pu (0.5000, 0.5000, 0.0000)  5.43
Y (0.5000, 0.0000, 0.5000)  0.05
Y (0.5000, 0.5000, 0.5000)  0.05
Y (0.0000, 0.5000, 0.5000)  0.05
Tm (0.0000, 0.0000, 0.5000)  0.10